*one*
# NiAsAu

A geometry-optimized NiAsAu structure (PBE, the Alexandria database).

Values from the calculation:
- space-group type = Imm2 (44)

abc: 3.109 3.326 9.174
angles: 90.00 90.00 90.00
Atoms (fractional coordinates):
1 Ni 0.000 0.000 0.000
2 Ni 0.500 0.500 0.500
3 As 0.000 0.000 0.399
4 As 0.500 0.500 0.899
5 Au 0.000 0.000 0.689
6 Au 0.500 0.500 0.189


*two*
# NiAsAu

A geometry-optimized NiAsAu structure (PBE, the Alexandria database).

Values from the calculation:
- space-group type = F-43m (216)

abc: 5.902 5.902 5.902
angles: 90.00 90.00 90.00
Atoms (fractional coordinates):
1 Ni 0.000 0.000 0.000
2 Ni 0.000 0.500 0.500
3 Ni 0.500 0.000 0.500
4 Ni 0.500 0.500 0.000
5 As 0.250 0.250 0.750
6 As 0.250 0.750 0.250
7 As 0.750 0.250 0.250
8 As 0.750 0.750 0.750
9 Au 0.250 0.250 0.250
10 Au 0.250 0.750 0.750
11 Au 0.750 0.250 0.750
12 Au 0.750 0.750 0.250


*three*
# NiAsAu

A geometry-optimized NiAsAu structure (PBE, the Alexandria database).

Values from the calculation:
- space-group type = P4mm (99)

abc: 2.963 2.963 5.650
angles: 90.00 90.00 90.00
Atoms (fractional coordinates):
1 Ni 0.000 0.000 0.000
2 As 0.500 0.500 0.214
3 Au 0.500 0.500 0.672


Tell me which of them is the least stable. Sure, it is *two*.


*one*
# NiAsAuSe2

A geometry-optimized NiAsAuSe2 structure (PBE, the Alexandria database).

Values from the calculation:
- space-group type = P4/mmm (123)

abc: 4.832 4.832 4.434
angles: 90.00 90.00 90.00
Atoms (fractional coordinates):
1 Ni 0.000 0.000 0.000
2 As 0.000 0.000 0.500
3 Au 0.500 0.500 0.500
4 Se 0.000 0.500 0.000
5 Se 0.500 0.000 0.000


*two*
# NiAsAuSe2

A geometry-optimized NiAsAuSe2 structure (PBE, the Alexandria database).

Values from the calculation:
- space-group type = P4/mmm (123)

abc: 5.177 5.177 4.841
angles: 90.00 90.00 90.00
Atoms (fractional coordinates):
1 Ni 0.000 0.000 0.000
2 As 0.500 0.500 0.000
3 Au 0.500 0.500 0.500
4 Se 0.000 0.500 0.500
5 Se 0.500 0.000 0.500


Tell me which of them is the least stable. Sure, it is *two*.